(1)
VASP calculation (PBE-GGA) on Ba2OsRu after structural relaxation.

The structure in POSCAR format:
```
Ba2OsRu
1.0
4.8177 0.0000 0.0000
0.0000 4.8177 0.0000
0.0000 0.0000 9.0897
Ba Os Ru
4 2 2
Direct
0.0000 0.5000 0.2500
0.0000 0.5000 0.7500
0.5000 0.0000 0.2500
0.5000 0.0000 0.7500
0.0000 0.0000 0.0000
0.5000 0.5000 0.5000
0.0000 0.0000 0.5000
0.5000 0.5000 0.0000
```

Values from the calculation:
As for the energy: -4.835 eV per atom. The value obtained for the density of states at the Fermi level is 7.402 states/eV/f.u. Its space group is No. 139. As for the energy relative to the elements: 1.253 eV per atom.



(2)
VASP calculation (PBE-GGA) on BaOsRu2 after structural relaxation.

The structure in POSCAR format:
```
BaOsRu2
1.0
2.9731 0.0000 0.0000
0.0000 4.8061 0.0000
0.0000 0.0000 5.3012
Ba Os Ru
1 1 2
Direct
0.0000 0.0000 0.0000
0.5000 0.0000 0.5000
0.0000 0.5000 0.5000
0.5000 0.5000 0.0000
```

Values from the calculation:
As for the energy: -6.504 eV per atom. The value obtained for the density of states at the Fermi level is 6.604 states/eV/f.u. Its space group is No. 47. As for the energy relative to the elements: 1.422 eV per atom.



(3)
VASP calculation (PBE-GGA) on Ba4OsRu after structural relaxation.

The structure in POSCAR format:
```
Ba4OsRu
1.0
0.0000 4.6930 4.6930
4.6930 0.0000 4.6930
4.6930 4.6930 0.0000
Ba Os Ru
4 1 1
Direct
0.1248 0.1248 0.1248
0.1248 0.1248 0.6255
0.1248 0.6255 0.1248
0.6255 0.1248 0.1248
0.7500 0.7500 0.7500
0.5000 0.5000 0.5000
```

Values from the calculation:
As for the energy: -3.006 eV per atom. The value obtained for the density of states at the Fermi level is 11.240 states/eV/f.u. Its space group is No. 216. As for the energy relative to the elements: 1.693 eV per atom.



(4)
VASP calculation (PBE-GGA) on BaOs2Ru after structural relaxation.

The structure in POSCAR format:
```
BaOs2Ru
1.0
4.3936 0.0000 0.0000
-2.1968 3.8050 0.0000
0.0000 0.0000 17.6529
Ba Os Ru
3 6 3
Direct
0.0000 0.0000 0.0000
0.3333 0.6667 0.6667
0.6667 0.3333 0.3333
0.0000 0.0000 0.1858
0.0000 0.0000 0.8142
0.3333 0.6667 0.4809
0.3333 0.6667 0.8524
0.6667 0.3333 0.1476
0.6667 0.3333 0.5191
0.0000 0.0000 0.5000
0.3333 0.6667 0.1667
0.6667 0.3333 0.8333
```

Values from the calculation:
As for the energy: -7.964 eV per atom. The value obtained for the density of states at the Fermi level is 1.888 states/eV/f.u. Its space group is No. 166. As for the energy relative to the elements: 0.451 eV per atom.



(5)
VASP calculation (PBE-GGA) on BaOs2Ru after structural relaxation.

The structure in POSCAR format:
```
BaOs2Ru
1.0
2.8799 0.0000 0.0000
-1.4399 2.4941 0.0000
0.0000 0.0000 30.8440
Ba Os Ru
3 6 3
Direct
0.0000 0.0000 0.0000
0.3333 0.6667 0.6667
0.6667 0.3333 0.3333
0.0000 0.0000 0.2345
0.0000 0.0000 0.7655
0.3333 0.6667 0.4322
0.3333 0.6667 0.9012
0.6667 0.3333 0.0988
0.6667 0.3333 0.5678
0.0000 0.0000 0.5000
0.3333 0.6667 0.1667
0.6667 0.3333 0.8333
```

Values from the calculation:
As for the energy: -7.343 eV per atom. The value obtained for the density of states at the Fermi level is 2.803 states/eV/f.u. Its space group is No. 166. As for the energy relative to the elements: 1.072 eV per atom.



(6)
VASP calculation (PBE-GGA) on BaOsRu2 after structural relaxation.

The structure in POSCAR format:
```
BaOsRu2
1.0
2.9326 0.0000 0.0000
0.0000 4.1806 0.0000
-1.4242 0.0000 6.8155
Ba Os Ru
1 1 2
Direct
0.0000 0.0000 0.0000
0.6854 0.5000 0.3664
0.2416 0.0000 0.4813
0.3393 0.5000 0.6826
```

Values from the calculation:
As for the energy: -7.116 eV per atom. The value obtained for the density of states at the Fermi level is 6.511 states/eV/f.u. Its space group is No. 6. As for the energy relative to the elements: 0.810 eV per atom.



(7)
VASP calculation (PBE-GGA) on Ba2OsRu after structural relaxation.

The structure in POSCAR format:
```
Ba2OsRu
1.0
5.2152 0.0000 0.0000
0.0000 5.2152 0.0000
0.0000 0.0000 7.5365
Ba Os Ru
4 2 2
Direct
0.0000 0.0000 0.0000
0.0000 0.5000 0.2500
0.5000 0.0000 0.7500
0.5000 0.5000 0.5000
0.0000 0.5000 0.7500
0.5000 0.0000 0.2500
0.0000 0.0000 0.5000
0.5000 0.5000 0.0000
```

Values from the calculation:
As for the energy: -4.873 eV per atom. The value obtained for the density of states at the Fermi level is 5.687 states/eV/f.u. Its space group is No. 119. As for the energy relative to the elements: 1.214 eV per atom.



(8)
VASP calculation (PBE-GGA) on Ba2OsRuS after structural relaxation.

The structure in POSCAR format:
```
Ba2OsRuS
1.0
6.0604 0.0000 0.0000
0.0000 6.0604 0.0000
0.0000 0.0000 4.2699
Ba Os Ru S
2 1 1 1
Direct
0.0000 0.5000 0.0000
0.5000 0.0000 0.0000
0.0000 0.0000 0.5000
0.5000 0.5000 0.5000
0.5000 0.5000 0.0000
```

Values from the calculation:
For the energy relative to the elements, uncorrected, the calculation gives 0.50 eV per atom. As for the energy: -5.194 eV per atom. The value obtained for the density of states at the Fermi level is 7.946 states/eV/f.u. Its space group is No. 123.



(9)
VASP calculation (PBE-GGA) on BaOs2RuSe after structural relaxation.

The structure in POSCAR format:
```
BaOs2RuSe
1.0
4.5525 0.0000 0.0000
0.0000 4.5525 0.0000
0.0000 0.0000 5.7580
Ba Os Ru Se
1 2 1 1
Direct
0.0000 0.0000 0.0000
0.0000 0.5000 0.5000
0.5000 0.0000 0.5000
0.5000 0.5000 0.0000
0.0000 0.0000 0.5000
```

Values from the calculation:
For the energy relative to the elements, uncorrected, the calculation gives 1.70 eV per atom. As for the energy: -5.727 eV per atom. The value obtained for the density of states at the Fermi level is 10.057 states/eV/f.u. Its space group is No. 123.



(10)
VASP calculation (PBE-GGA) on BaSrOsRu2 after structural relaxation.

The structure in POSCAR format:
```
BaSrOsRu2
1.0
5.1072 0.0000 0.0000
0.0000 5.1072 0.0000
0.0000 0.0000 5.2420
Ba Sr Os Ru
1 1 1 2
Direct
0.0000 0.0000 0.0000
0.5000 0.5000 0.5000
0.5000 0.5000 0.0000
0.0000 0.5000 0.5000
0.5000 0.0000 0.5000
```

Values from the calculation:
As for the energy: -4.492 eV per atom. The value obtained for the density of states at the Fermi level is 6.747 states/eV/f.u. Its space group is No. 123. As for the energy relative to the elements: 2.185 eV per atom.



(11)
VASP calculation (PBE-GGA) on Ba2ZrOsRu after structural relaxation.

The structure in POSCAR format:
```
Ba2ZrOsRu
1.0
6.3169 0.0000 0.0000
0.0000 6.3169 0.0000
0.0000 0.0000 4.5747
Ba Zr Os Ru
2 1 1 1
Direct
0.0000 0.5000 0.0000
0.5000 0.0000 0.0000
0.0000 0.0000 0.0000
0.5000 0.5000 0.5000
0.0000 0.0000 0.5000
```

Values from the calculation:
As for the energy: -4.869 eV per atom. The value obtained for the density of states at the Fermi level is 9.898 states/eV/f.u. Its space group is No. 123. As for the energy relative to the elements: 1.711 eV per atom.



(12)
VASP calculation (PBE-GGA) on BaOsS3 after structural relaxation.

The structure in POSCAR format:
```
BaOsS3
1.0
4.7859 0.0000 0.0000
0.0000 4.7859 0.0000
0.0000 0.0000 4.7859
Ba Os S
1 1 3
Direct
0.0000 0.0000 0.0000
0.5000 0.5000 0.5000
0.0000 0.5000 0.5000
0.5000 0.0000 0.5000
0.5000 0.5000 0.0000
```

Values from the calculation:
For the energy relative to the elements, uncorrected, the calculation gives -0.59 eV per atom. As for the energy: -5.701 eV per atom. The value obtained for the density of states at the Fermi level is 4.233 states/eV/f.u. Its space group is No. 221.



(13)
VASP calculation (PBE-GGA) on BaOsS3 after structural relaxation.

The structure in POSCAR format:
```
BaOsS3
1.0
5.8181 0.0000 0.0000
0.0000 5.8181 0.0000
0.0000 0.0000 5.8181
Ba Os S
1 1 3
Direct
0.0000 0.0000 0.0000
0.5000 0.5000 0.5000
0.0000 0.0000 0.5000
0.0000 0.5000 0.0000
0.5000 0.0000 0.0000
```

Values from the calculation:
For the energy relative to the elements, uncorrected, the calculation gives 1.69 eV per atom. As for the energy: -3.421 eV per atom. The value obtained for the density of states at the Fermi level is 4.078 states/eV/f.u. Its space group is No. 221.



(14)
VASP calculation (PBE-GGA) on Ba2OsS after structural relaxation.

The structure in POSCAR format:
```
Ba2OsS
1.0
8.2757 0.0000 0.0000
0.0000 8.2757 0.0000
0.0000 0.0000 8.4342
Ba Os S
8 4 4
Direct
0.2378 0.2500 0.1250
0.2500 0.7378 0.3750
0.2500 0.7622 0.8750
0.2622 0.2500 0.6250
0.7378 0.7500 0.6250
0.7500 0.2378 0.8750
0.7500 0.2622 0.3750
0.7622 0.7500 0.1250
0.0000 0.0000 0.5000
0.0000 0.5000 0.7500
0.5000 0.0000 0.2500
0.5000 0.5000 0.0000
0.0000 0.0000 0.0000
0.0000 0.5000 0.2500
0.5000 0.0000 0.7500
0.5000 0.5000 0.5000
```

Values from the calculation:
For the energy relative to the elements, uncorrected, the calculation gives 0.16 eV per atom. As for the energy: -4.638 eV per atom. The value obtained for the density of states at the Fermi level is 2.972 states/eV/f.u. Its space group is No. 122.



(15)
VASP calculation (PBE-GGA) on Ba2SbOs after structural relaxation.

The structure in POSCAR format:
```
Ba2SbOs
1.0
3.4995 0.0000 0.0000
0.0000 4.6133 0.0000
0.0000 0.0000 7.8047
Ba Sb Os
2 1 1
Direct
0.0000 0.0000 0.2339
0.0000 0.0000 0.7661
0.5000 0.5000 0.5000
0.5000 0.5000 0.0000
```

Values from the calculation:
For the energy relative to the elements, uncorrected, the calculation gives 0.37 eV per atom. As for the energy: -4.431 eV per atom. The value obtained for the density of states at the Fermi level is 3.706 states/eV/f.u. Its space group is No. 47.



(16)
VASP calculation (PBE-GGA) on Ba2SbOs after structural relaxation.

The structure in POSCAR format:
```
Ba2SbOs
1.0
3.6519 0.0000 0.0000
0.0000 3.6519 0.0000
0.0000 0.0000 9.9723
Ba Sb Os
2 1 1
Direct
0.0000 0.0000 0.0000
0.5000 0.5000 0.4087
0.5000 0.5000 0.7489
0.0000 0.0000 0.6445
```

Values from the calculation:
For the energy relative to the elements, uncorrected, the calculation gives 0.23 eV per atom. As for the energy: -4.567 eV per atom. The value obtained for the density of states at the Fermi level is 4.262 states/eV/f.u. Its space group is No. 99.



(17)
VASP calculation (PBE-GGA) on Ba2SbOs after structural relaxation.

The structure in POSCAR format:
```
Ba2SbOs
1.0
3.5951 0.0000 0.0000
0.0000 3.5951 0.0000
0.0000 0.0000 9.6383
Ba Sb Os
2 1 1
Direct
0.0000 0.0000 0.2124
0.0000 0.0000 0.7876
0.5000 0.5000 0.5000
0.5000 0.5000 0.0000
```

Values from the calculation:
For the energy relative to the elements, uncorrected, the calculation gives 0.33 eV per atom. As for the energy: -4.472 eV per atom. The value obtained for the density of states at the Fermi level is 5.280 states/eV/f.u. Its space group is No. 123.



(18)
VASP calculation (PBE-GGA) on BaSbOs2 after structural relaxation.

The structure in POSCAR format:
```
BaSbOs2
1.0
3.1369 0.0000 0.0000
0.0000 4.3469 0.0000
-1.4444 0.0000 6.8802
Ba Sb Os
1 1 2
Direct
0.0000 0.0000 0.0000
0.0000 0.0000 0.5000
0.3684 0.5000 0.6661
0.6316 0.5000 0.3339
```

Values from the calculation:
For the energy relative to the elements, uncorrected, the calculation gives 0.91 eV per atom. As for the energy: -6.219 eV per atom. The value obtained for the density of states at the Fermi level is 5.158 states/eV/f.u. Its space group is No. 10.



(19)
VASP calculation (PBE-GGA) on BaSbOs2 after structural relaxation.

The structure in POSCAR format:
```
BaSbOs2
1.0
4.3727 0.0000 0.0000
-2.1863 3.7868 0.0000
0.0000 0.0000 18.8697
Ba Sb Os
3 3 6
Direct
0.0000 0.0000 0.0000
0.3333 0.6667 0.6667
0.6667 0.3333 0.3333
0.0000 0.0000 0.2002
0.3333 0.6667 0.8668
0.6667 0.3333 0.5335
0.0000 0.0000 0.4654
0.0000 0.0000 0.7959
0.3333 0.6667 0.1320
0.3333 0.6667 0.4625
0.6667 0.3333 0.1292
0.6667 0.3333 0.7987
```

Values from the calculation:
For the energy relative to the elements, uncorrected, the calculation gives 0.05 eV per atom. As for the energy: -7.072 eV per atom. The value obtained for the density of states at the Fermi level is 2.290 states/eV/f.u. Its space group is No. 160.



(20)
VASP calculation (PBE-GGA) on Ba2SbOs after structural relaxation.

The structure in POSCAR format:
```
Ba2SbOs
1.0
4.4301 0.0000 0.0000
0.0000 5.3413 0.0000
0.0000 0.0000 11.2877
Ba Sb Os
4 2 2
Direct
0.0000 0.0000 0.0000
0.0000 0.5000 0.2116
0.5000 0.0000 0.7116
0.5000 0.5000 0.5000
0.0000 0.0000 0.4306
0.5000 0.5000 0.9306
0.0000 0.5000 0.8137
0.5000 0.0000 0.3137
```

Values from the calculation:
For the energy relative to the elements, uncorrected, the calculation gives 0.06 eV per atom. As for the energy: -4.735 eV per atom. The value obtained for the density of states at the Fermi level is 3.283 states/eV/f.u. Its space group is No. 44.